Compound: Y2Co2O5
Source: Alexandria via LeMat-Bulk
Functional: PBE with a Hubbard U
Structure: relaxed

final energy	-66.1	eV/f.u.
crystal system	tetragonal

Unit cell a=3.7699 b=3.7699 c=6.7628 alpha=90.00 beta=90.00 gamma=90.00
With the nearest neighbours (Å) after each atom.
Space group P4/mmm (No. 123)
Inequivalent atoms, fractional coordinates:
Y1 0.0000 0.0000 0.0000 x1  8 O 2.42
Y2 0.0000 0.0000 0.5000 x1  12 O 2.65-2.67
Co1 0.5000 0.5000 0.2025 x2  5 O 1.89-2.01
O1 0.0000 0.5000 0.2252 x4  2 Co 1.89
O2 0.5000 0.5000 0.5000 x1  2 Co 2.01